DFT (GGA-PBE) results for a geometry-optimized Pm4Zn2S structure.

Summary:
- DFT total energy (eV/atom) = -4.38
- raw formation energy (eV per atom) = -0.715

Structure (extended XYZ):
```
7
Lattice="6.5490 -2.0077 0.0000 6.5490 2.0077 0.0000 -5.0549 0.0000 7.1672" Properties=species:S:1:pos:R:3 pbc="T T T"
Pm -0.7216 0.0000 2.7219
Pm -0.3232 0.0000 6.5605
Pm 8.3663 0.0000 0.6067
Pm 8.7648 0.0000 4.4453
Zn 3.4342 0.0000 2.3439
Zn 4.6090 0.0000 4.8232
S 0.0000 0.0000 0.0000
```

***

DFT (GGA-PBE) results for a geometry-optimized Pm2ZnS structure.

Summary:
- DFT total energy (eV/atom) = -4.75
- raw formation energy (eV per atom) = -1.029
- energy above the most stable polymorph in this dataset (meV/atom) = 131.3

Structure (extended XYZ):
```
4
Lattice="1.9712 1.1381 7.6177 -1.9712 1.1381 7.6177 0.0000 -2.2761 7.6177" Properties=species:S:1:pos:R:3 pbc="T T T"
Pm 0.0000 0.0000 0.0000
Pm 0.0000 0.0000 4.2851
Zn 0.0000 0.0000 17.3763
S 0.0000 0.0000 13.5234
```

***

DFT (GGA-PBE) results for a geometry-optimized PmZrS4 structure.

Summary:
- DFT total energy (eV/atom) = -6.43
- raw formation energy (eV per atom) = -1.460

Structure (extended XYZ):
```
12
Lattice="4.4197 -5.7251 0.0000 4.4197 5.7251 0.0000 -3.8720 0.0000 5.2321" Properties=species:S:1:pos:R:3 pbc="T T T"
Pm 1.5157 4.2153 3.9241
Pm 3.4517 -4.2153 1.3080
Zr 3.4517 0.0628 1.3080
Zr 1.5157 -0.0628 3.9241
S -1.0835 0.7320 4.0606
S 1.7434 1.9510 2.1024
S 0.8525 -0.7320 1.4445
S 5.1599 1.9510 0.5137
S -0.1926 -1.9510 4.7184
S 4.1148 0.7320 3.7876
S 3.2239 -1.9510 3.1297
S 6.0508 -0.7320 1.1715
```

***

DFT (GGA-PBE) results for a geometry-optimized PmZr2S4 structure.

Summary:
- DFT total energy (eV/atom) = -7.14
- raw formation energy (eV per atom) = -1.662

Structure (extended XYZ):
```
14
Lattice="1.8480 -6.0240 0.0000 1.8480 6.0240 0.0000 0.0000 0.0000 13.1720" Properties=species:S:1:pos:R:3 pbc="T T T"
Pm 1.8480 4.6864 9.8790
Pm 1.8480 -4.6864 3.2930
Zr 1.8480 1.7312 7.3688
Zr 1.8480 1.7312 12.3892
Zr 1.8480 -1.7312 0.7828
Zr 1.8480 -1.7312 5.8032
S 0.0000 0.0000 0.0000
S 0.0000 0.0000 6.5860
S 1.8480 2.6532 1.6256
S 1.8480 2.6532 4.9604
S 1.8480 0.7310 9.8790
S 1.8480 -0.7310 3.2930
S 1.8480 -2.6532 8.2116
S 1.8480 -2.6532 11.5464
```